Entry 1:
The following is a DFT calculation (PBE) of crystalline Nd4BBrCl2 at its relaxed geometry.

Calculated values
energy relative to the elements, uncorrected: -1.102 eV/atom

Cell lengths 7.084, 4.042, 7.520 Å; angles 90.00, 108.54, 90.00 degrees
Positions (direct):
Nd  0.212  0.000  0.201
Nd  0.233  0.500  0.794
Nd  0.767  0.500  0.206
Nd  0.788  0.000  0.799
B  0.000  0.500  0.000
Br  0.000  0.000  0.500
Cl  0.500  0.000  0.000
Cl  0.500  0.500  0.500

***

Entry 2:
The following is a DFT calculation (PBE) of crystalline HgHNF2 at its relaxed geometry.

Calculated values
energy above the most stable polymorph in this dataset: 0.0 meV/atom

Cell lengths 4.422, 4.422, 2.741 Å; angles 90.00, 90.00, 90.00 degrees
Positions (direct):
Hg  0.000  0.000  0.000
H  0.500  0.500  0.500
N  0.500  0.500  0.000
F  0.000  0.500  0.500
F  0.500  0.000  0.500

***

Entry 3:
The following is a DFT calculation (PBE) of crystalline Al2Cd2Ag at its relaxed geometry.

Calculated values
energy above the most stable polymorph in this dataset: 168.7 meV/atom

Cell lengths 7.074, 7.074, 7.074 Å; angles 146.31, 146.31, 48.38 degrees
Positions (direct):
Al  0.097  0.097  0.000
Al  0.903  0.903  0.000
Cd  0.250  0.750  0.500
Cd  0.750  0.250  0.500
Ag  0.500  0.500  0.000

***

Entry 4:
The following is a DFT calculation (PBE) of crystalline NaScTe2 at its relaxed geometry.

Calculated values
energy relative to the elements, uncorrected: -1.173 eV/atom

Cell lengths 8.086, 8.086, 8.086 Å; angles 30.25, 30.25, 30.25 degrees
Positions (direct):
Na  0.000  0.000  0.000
Sc  0.832  0.832  0.832
Te  0.238  0.238  0.238
Te  0.427  0.427  0.427